[1]
# KDy2H

A geometry-optimized KDy2H structure (GGA-PBE, Alexandria via LeMat-Bulk).

Geometry as CIF:
```
data_KDy2H
_chemical_formula_sum 'K3 Dy6 H3'
_space_group_name_H-M_alt 'R -3 m'
_space_group_IT_number 166
_space_group_name_Hall '-R 3 2"'
_cell_length_a 3.6191
_cell_length_b 3.6191
_cell_length_c 30.5992
_cell_angle_alpha 90.00
_cell_angle_beta 90.00
_cell_angle_gamma 120.00
loop_
_atom_site_label
_atom_site_type_symbol
_atom_site_fract_x
_atom_site_fract_y
_atom_site_fract_z
K1 K 0.0000 0.0000 0.0000
Dy1 Dy 0.0000 0.0000 0.1237
H1 H 0.0000 0.0000 0.5000
```

* total DFT energy (no corrections): -3.36 eV per atom
* D(E_F): 12.15 states/eV per cell
* size of the total moment: 0.517 μB per cell

[2]
# AlBi3Se6

A geometry-optimized AlBi3Se6 structure (GGA-PBE, Alexandria via LeMat-Bulk).

Geometry as CIF:
```
data_AlBi3Se6
_chemical_formula_sum 'Al4 Bi12 Se24'
_space_group_name_H-M_alt 'C m c 21'
_space_group_IT_number 36
_cell_length_a 11.604
_cell_length_b 14.472
_cell_length_c 6.888
_cell_angle_alpha 90.00
_cell_angle_beta 90.00
_cell_angle_gamma 90.00
loop_
_space_group_symop_operation_xyz
'x,y,z'
'-x,-y,z+1/2'
'-x,y,z'
'x,-y,z+1/2'
'x+1/2,y+1/2,z'
'-x+1/2,-y+1/2,z+1/2'
'-x+1/2,y+1/2,z'
'x+1/2,-y+1/2,z+1/2'
loop_
_atom_site_label
_atom_site_type_symbol
_atom_site_fract_x
_atom_site_fract_y
_atom_site_fract_z
Al1 Al 0.000 0.198 0.000
Bi1 Bi 0.000 0.399 0.628
Bi2 Bi 0.184 0.105 0.555
Se1 Se 0.000 0.045 0.854
Se2 Se 0.000 0.218 0.345
Se3 Se 0.162 0.474 0.338
Se4 Se 0.164 0.266 0.834
```

* total DFT energy (no corrections): -4.08 eV per atom
* E_form (uncorrected): -0.454 eV per atom
* size of the total moment: 0.000 μB per cell

[3]
# CePuZr2As4

A geometry-optimized CePuZr2As4 structure (GGA-PBE, Alexandria via LeMat-Bulk).

Geometry as CIF:
```
data_CePuZr2As4
_chemical_formula_sum 'Ce1 Pu1 Zr2 As4'
_space_group_name_H-M_alt 'P 1 2/m 1'
_space_group_IT_number 10
_cell_length_a 6.934
_cell_length_b 4.003
_cell_length_c 6.977
_cell_angle_alpha 90.00
_cell_angle_beta 109.33
_cell_angle_gamma 90.00
loop_
_space_group_symop_operation_xyz
'x,y,z'
'-x,-y,-z'
'-x,y,-z'
'x,-y,z'
loop_
_atom_site_label
_atom_site_type_symbol
_atom_site_fract_x
_atom_site_fract_y
_atom_site_fract_z
Ce1 Ce 0.000 0.000 0.000
Pu1 Pu 0.500 0.500 0.000
Zr1 Zr 0.000 0.500 0.500
Zr2 Zr 0.500 0.000 0.500
As1 As 0.246 0.000 0.734
As2 As 0.257 0.500 0.268
```

* formation enthalpy at 0 K: -117.7 kJ/mol of atoms
* total DFT energy (no corrections): -8.21 eV per atom
* D(E_F): 13.81 states/eV per cell
* size of the total moment: 5.138 μB per cell

[4]
# TlCdP

A geometry-optimized TlCdP structure (GGA-PBE, Alexandria via LeMat-Bulk).

Geometry as CIF:
```
data_TlCdP
_chemical_formula_sum 'Tl4 Cd4 P4'
_space_group_name_H-M_alt 'F -4 3 m'
_space_group_IT_number 216
_space_group_name_Hall 'F -4 2 3'
_cell_length_a 6.812
_cell_length_b 6.812
_cell_length_c 6.812
_cell_angle_alpha 90.00
_cell_angle_beta 90.00
_cell_angle_gamma 90.00
loop_
_atom_site_label
_atom_site_type_symbol
_atom_site_fract_x
_atom_site_fract_y
_atom_site_fract_z
Tl1 Tl 0.000 0.000 0.000
Cd1 Cd 0.000 0.000 0.500
P1 P 0.250 0.250 0.250
```

* formation enthalpy at 0 K: 17.8 kJ/mol of atoms
* total DFT energy (no corrections): -2.71 eV per atom
* D(E_F): 2.82 states/eV per cell
* size of the total moment: 0.000 μB per cell

[5]
# ScFeMo2

A geometry-optimized ScFeMo2 structure (GGA-PBE, Alexandria via LeMat-Bulk).

Geometry as CIF:
```
data_ScFeMo2
_chemical_formula_sum 'Sc2 Fe2 Mo4'
_space_group_name_H-M_alt 'C 1 2/m 1'
_space_group_IT_number 12
_cell_length_a 5.289
_cell_length_b 9.097
_cell_length_c 2.742
_cell_angle_alpha 90.00
_cell_angle_beta 108.41
_cell_angle_gamma 90.00
loop_
_space_group_symop_operation_xyz
'x,y,z'
'-x,-y,-z'
'-x,y,-z'
'x,-y,z'
'x+1/2,y+1/2,z'
'-x+1/2,-y+1/2,-z'
'-x+1/2,y+1/2,-z'
'x+1/2,-y+1/2,z'
loop_
_atom_site_label
_atom_site_type_symbol
_atom_site_fract_x
_atom_site_fract_y
_atom_site_fract_z
Sc1 Sc 0.000 0.000 0.000
Fe1 Fe 0.000 0.500 0.000
Mo1 Mo 0.250 0.250 0.500
```

* formation enthalpy at 0 K: 18.1 kJ/mol of atoms
* total DFT energy (no corrections): -8.93 eV per atom
* energy relative to the lowest polymorph listed for this composition: 121 meV per atom
* D(E_F): 8.35 states/eV per cell
* size of the total moment: 2.222 μB per cell

[6]
# ZrSc2CrS6

A geometry-optimized ZrSc2CrS6 structure (GGA-PBE, Alexandria via LeMat-Bulk).

Geometry as CIF:
```
data_ZrSc2CrS6
_chemical_formula_sum 'Zr3 Sc6 Cr3 S18'
_space_group_name_H-M_alt 'R 3'
_space_group_IT_number 146
_space_group_name_Hall 'R 3'
_cell_length_a 6.3647
_cell_length_b 6.3647
_cell_length_c 17.5918
_cell_angle_alpha 90.00
_cell_angle_beta 90.00
_cell_angle_gamma 120.00
loop_
_atom_site_label
_atom_site_type_symbol
_atom_site_fract_x
_atom_site_fract_y
_atom_site_fract_z
Zr1 Zr 0.0000 0.0000 0.0000
Sc1 Sc 0.0000 0.0000 0.3114
Sc2 Sc 0.0000 0.0000 0.8116
Cr1 Cr 0.0000 0.0000 0.4992
S1 S 0.0220 0.3432 0.5725
S2 S 0.0310 0.6753 0.0765
```

* total DFT energy (no corrections): -7.02 eV per atom
* D(E_F): 10.59 states/eV per cell
* E_form (uncorrected): -1.461 eV per atom
* size of the total moment: 12.114 μB per cell

[7]
# SrFeP2Ru

A geometry-optimized SrFeP2Ru structure (GGA-PBE, Alexandria via LeMat-Bulk).

Geometry as CIF:
```
data_SrFeP2Ru
_chemical_formula_sum 'Sr2 Fe2 P4 Ru2'
_space_group_name_H-M_alt 'I -4 m 2'
_space_group_IT_number 119
_space_group_name_Hall 'I -4 -2'
_cell_length_a 3.942
_cell_length_b 3.942
_cell_length_c 11.389
_cell_angle_alpha 90.00
_cell_angle_beta 90.00
_cell_angle_gamma 90.00
loop_
_atom_site_label
_atom_site_type_symbol
_atom_site_fract_x
_atom_site_fract_y
_atom_site_fract_z
Sr1 Sr 0.000 0.000 0.000
Fe1 Fe 0.000 0.500 0.250
P1 P 0.000 0.000 0.350
Ru1 Ru 0.000 0.500 0.750
```

* formation enthalpy at 0 K: -81.6 kJ/mol of atoms
* total DFT energy (no corrections): -6.89 eV per atom
* D(E_F): 4.35 states/eV per cell
* size of the total moment: 0.000 μB per cell

[8]
# RbAlGaH2

A geometry-optimized RbAlGaH2 structure (GGA-PBE, Alexandria via LeMat-Bulk).

Geometry as CIF:
```
data_RbAlGaH2
_chemical_formula_sum 'Rb1 Al1 Ga1 H2'
_space_group_name_H-M_alt 'P 4/m m m'
_space_group_IT_number 123
_space_group_name_Hall '-P 4 2'
_cell_length_a 4.504
_cell_length_b 4.504
_cell_length_c 7.550
_cell_angle_alpha 90.00
_cell_angle_beta 90.00
_cell_angle_gamma 90.00
loop_
_atom_site_label
_atom_site_type_symbol
_atom_site_fract_x
_atom_site_fract_y
_atom_site_fract_z
Rb1 Rb 0.000 0.000 0.000
Al1 Al 0.000 0.000 0.500
Ga1 Ga 0.500 0.500 0.500
H1 H 0.000 0.500 0.000
```

* total DFT energy (no corrections): -1.84 eV per atom
* D(E_F): 2.79 states/eV per cell
* size of the total moment: 0.899 μB per cell

[9]
# Co3TcW

A geometry-optimized Co3TcW structure (GGA-PBE, Alexandria via LeMat-Bulk).

Geometry as CIF:
```
data_Co3TcW
_chemical_formula_sum 'Co3 Tc1 W1'
_space_group_name_H-M_alt 'P m -3 m'
_space_group_IT_number 221
_space_group_name_Hall '-P 4 2 3'
_cell_length_a 4.389
_cell_length_b 4.389
_cell_length_c 4.389
_cell_angle_alpha 90.00
_cell_angle_beta 90.00
_cell_angle_gamma 90.00
loop_
_atom_site_label
_atom_site_type_symbol
_atom_site_fract_x
_atom_site_fract_y
_atom_site_fract_z
Co1 Co 0.000 0.000 0.500
Tc1 Tc 0.500 0.500 0.500
W1 W 0.000 0.000 0.000
```

* formation enthalpy at 0 K: 167.6 kJ/mol of atoms
* total DFT energy (no corrections): -7.19 eV per atom
* energy relative to the lowest polymorph listed for this composition: 0 meV per atom
* D(E_F): 7.08 states/eV per cell
* size of the total moment: 4.634 μB per cell

[10]
# CdMoOs2

A geometry-optimized CdMoOs2 structure (GGA-PBE, Alexandria via LeMat-Bulk).

Geometry as CIF:
```
data_CdMoOs2
_chemical_formula_sum 'Cd3 Mo3 Os6'
_space_group_name_H-M_alt 'R -3 m'
_space_group_IT_number 166
_space_group_name_Hall '-R 3 2"'
_cell_length_a 2.8055
_cell_length_b 2.8055
_cell_length_c 28.1740
_cell_angle_alpha 90.00
_cell_angle_beta 90.00
_cell_angle_gamma 120.00
loop_
_atom_site_label
_atom_site_type_symbol
_atom_site_fract_x
_atom_site_fract_y
_atom_site_fract_z
Cd1 Cd 0.0000 0.0000 0.0000
Mo1 Mo 0.0000 0.0000 0.5000
Os1 Os 0.0000 0.0000 0.2436
```

* formation enthalpy at 0 K: 25.7 kJ/mol of atoms
* total DFT energy (no corrections): -8.29 eV per atom
* D(E_F): 9.99 states/eV per cell
* size of the total moment: 0.000 μB per cell